(1)
Pm2Si4Ni3Pt: optimized geometry, PBE.

Cell lengths 4.060, 4.060, 9.721 Å; angles 90.00, 90.00, 90.00 degrees
Positions (direct):
Pm 0.000 0.500 0.242
Pm 0.500 0.000 0.758
Si 0.000 0.000 0.000
Si 0.000 0.500 0.639
Si 0.500 0.000 0.361
Si 0.500 0.500 0.000
Ni 0.000 0.500 0.880
Ni 0.500 0.000 0.120
Ni 0.500 0.500 0.500
Pt 0.000 0.000 0.500

Output
SG: P-4m2, No. 115
Calculated total energy (eV per atom): -6.36
DOS at the Fermi energy (states/eV per cell): 6.7
M_tot (μB per atom): 0.0000
Formation energy (no corrections) (meV/atom): -898

***

(2)
PmSi2NiPt5: optimized geometry, PBE.

Cell lengths 4.092, 4.092, 10.128 Å; angles 90.00, 90.00, 90.00 degrees
Positions (direct):
Pm 0.000 0.000 0.000
Si 0.500 0.500 0.232
Si 0.500 0.500 0.768
Ni 0.000 0.000 0.500
Pt 0.000 0.500 0.349
Pt 0.000 0.500 0.651
Pt 0.500 0.000 0.349
Pt 0.500 0.000 0.651
Pt 0.500 0.500 0.000

Output
SG: P4/mmm, No. 123
Calculated total energy (eV per atom): -6.32
DOS at the Fermi energy (states/eV per cell): 6.5
M_tot (μB per atom): 0.0016
Formation energy (no corrections) (meV/atom): -589

***

(3)
PmSi2NiPt: optimized geometry, PBE.

Cell lengths 5.746, 5.746, 5.746 Å; angles 138.05, 138.05, 60.83 degrees
Positions (direct):
Pm 0.000 0.000 0.000
Si 0.378 0.378 0.000
Si 0.622 0.622 0.000
Ni 0.750 0.250 0.500
Pt 0.250 0.750 0.500

Output
SG: I-4m2, No. 119
Calculated total energy (eV per atom): -6.43
DOS at the Fermi energy (states/eV per cell): 3.3
M_tot (μB per atom): 0.0000
Formation energy (no corrections) (meV/atom): -950

***

(4)
PmSiNiPt6: optimized geometry, PBE.

Cell lengths 7.948, 7.948, 7.948 Å; angles 130.35, 110.49, 90.14 degrees
Positions (direct):
Pm 0.418 0.168 0.250
Pm 0.582 0.832 0.750
Si 0.000 0.500 0.500
Si 0.500 0.500 0.000
Ni 0.000 0.000 0.500
Ni 0.000 0.500 0.000
Pt 0.115 0.359 0.218
Pt 0.115 0.898 0.757
Pt 0.160 0.910 0.250
Pt 0.329 0.579 0.750
Pt 0.359 0.102 0.718
Pt 0.359 0.641 0.257
Pt 0.641 0.359 0.743
Pt 0.641 0.898 0.282
Pt 0.671 0.421 0.250
Pt 0.840 0.090 0.750
Pt 0.885 0.102 0.243
Pt 0.885 0.641 0.782

Output
SG: Imma, No. 74
Calculated total energy (eV per atom): -6.12
DOS at the Fermi energy (states/eV per cell): 14.1
M_tot (μB per atom): 0.1113
Formation energy (no corrections) (meV/atom): -315

***

(5)
PmSi2Ni5Pt: optimized geometry, PBE.

Cell lengths 4.461, 4.461, 6.667 Å; angles 90.00, 90.00, 90.00 degrees
Positions (direct):
Pm 0.000 0.000 0.000
Si 0.500 0.500 0.329
Si 0.500 0.500 0.671
Ni 0.000 0.500 0.291
Ni 0.000 0.500 0.709
Ni 0.500 0.000 0.291
Ni 0.500 0.000 0.709
Ni 0.500 0.500 0.000
Pt 0.000 0.000 0.500

Output
SG: P4/mmm, No. 123
Calculated total energy (eV per atom): -5.79
DOS at the Fermi energy (states/eV per cell): 7.3
M_tot (μB per atom): 0.0000
Formation energy (no corrections) (meV/atom): -176

***

(6)
PmSmNiPt: optimized geometry, PBE.

Cell lengths 4.385, 5.657, 5.657 Å; angles 40.45, 90.00, 90.00 degrees
Positions (direct):
Pm 0.000 0.000 0.000
Sm 0.500 0.278 0.278
Ni 0.500 0.560 0.560
Pt 0.000 0.717 0.717

Output
SG: Amm2, No. 38
Calculated total energy (eV per atom): -6.10
DOS at the Fermi energy (states/eV per cell): 2.5
DFT formation energy (eV per formula unit): -3.109
M_tot (μB per atom): 0.0000

***

(7)
Pm2Ni3Sn4Pt: optimized geometry, PBE.

Cell lengths 4.481, 4.481, 10.280 Å; angles 90.00, 90.00, 90.00 degrees
Positions (direct):
Pm 0.000 0.500 0.242
Pm 0.500 0.000 0.758
Ni 0.000 0.000 0.000
Ni 0.000 0.500 0.623
Ni 0.500 0.000 0.377
Sn 0.000 0.000 0.500
Sn 0.000 0.500 0.864
Sn 0.500 0.000 0.136
Sn 0.500 0.500 0.500
Pt 0.500 0.500 0.000

Output
SG: P-4m2, No. 115
Calculated total energy (eV per atom): -5.49
DOS at the Fermi energy (states/eV per cell): 5.7
DFT formation energy (eV per formula unit): -6.040
M_tot (μB per atom): 0.0000

***

(8)
Pm2Ni4Sn3Pt: optimized geometry, PBE.

Cell lengths 4.272, 4.272, 10.594 Å; angles 90.00, 90.00, 90.00 degrees
Positions (direct):
Pm 0.000 0.500 0.242
Pm 0.500 0.000 0.758
Ni 0.000 0.000 0.500
Ni 0.000 0.500 0.864
Ni 0.500 0.000 0.136
Ni 0.500 0.500 0.500
Sn 0.000 0.000 0.000
Sn 0.000 0.500 0.628
Sn 0.500 0.000 0.372
Pt 0.500 0.500 0.000

Output
SG: P-4m2, No. 115
Calculated total energy (eV per atom): -5.59
DOS at the Fermi energy (states/eV per cell): 8.0
DFT formation energy (eV per formula unit): -5.205
M_tot (μB per atom): 0.0000

***

(9)
TbPmNiPt: optimized geometry, PBE.

Cell lengths 4.952, 4.952, 4.952 Å; angles 60.00, 60.00, 60.00 degrees
Positions (direct):
Tb 0.000 0.000 0.000
Pm 0.500 0.500 0.500
Ni 0.250 0.250 0.250
Pt 0.750 0.750 0.750

Output
SG: F-43m, No. 216
Calculated total energy (eV per atom): -6.02
DOS at the Fermi energy (states/eV per cell): 4.0
DFT formation energy (eV per formula unit): -2.882
M_tot (μB per atom): 0.0000

***

(10)
TbPmNiPt: optimized geometry, PBE.

Cell lengths 4.408, 5.544, 5.544 Å; angles 41.04, 90.00, 90.00 degrees
Positions (direct):
Tb 0.000 0.000 0.000
Pm 0.500 0.280 0.280
Ni 0.500 0.558 0.558
Pt 0.000 0.714 0.714

Output
SG: Amm2, No. 38
Calculated total energy (eV per atom): -6.11
DOS at the Fermi energy (states/eV per cell): 2.5
DFT formation energy (eV per formula unit): -3.235
M_tot (μB per atom): 0.0000

***

(11)
PmThNiPt: optimized geometry, PBE.

Cell lengths 4.406, 5.809, 5.809 Å; angles 38.34, 90.00, 90.00 degrees
Positions (direct):
Pm 0.000 0.000 0.000
Th 0.500 0.725 0.725
Ni 0.000 0.266 0.266
Pt 0.500 0.441 0.441

Output
SG: Amm2, No. 38
Calculated total energy (eV per atom): -6.80
DOS at the Fermi energy (states/eV per cell): 3.1
DFT formation energy (eV per formula unit): -3.201
M_tot (μB per atom): 0.0000

***

(12)
PmThNiPt: optimized geometry, PBE.

Cell lengths 5.032, 5.032, 5.032 Å; angles 60.00, 60.00, 60.00 degrees
Positions (direct):
Pm 0.000 0.000 0.000
Th 0.500 0.500 0.500
Ni 0.750 0.750 0.750
Pt 0.250 0.250 0.250

Output
SG: F-43m, No. 216
Calculated total energy (eV per atom): -6.64
DOS at the Fermi energy (states/eV per cell): 3.6
DFT formation energy (eV per formula unit): -2.575
M_tot (μB per atom): 0.0000